[1]
Material: ZnCu23Pt6
Method: DFT, PBE-GGA
State: optimized geometry

a b c (Å): 8.247 8.247 8.247
angles (deg): 60.00 60.00 60.00
Fractional positions:
Zn  0.000  0.000  0.000
Cu  0.000  0.000  0.500
Cu  0.000  0.500  0.000
Cu  0.000  0.500  0.500
Cu  0.107  0.631  0.631
Cu  0.137  0.137  0.137
Cu  0.137  0.137  0.588
Cu  0.137  0.588  0.137
Cu  0.369  0.369  0.369
Cu  0.369  0.369  0.893
Cu  0.369  0.893  0.369
Cu  0.412  0.863  0.863
Cu  0.500  0.000  0.000
Cu  0.500  0.000  0.500
Cu  0.500  0.500  0.000
Cu  0.500  0.500  0.500
Cu  0.588  0.137  0.137
Cu  0.631  0.107  0.631
Cu  0.631  0.631  0.107
Cu  0.631  0.631  0.631
Cu  0.863  0.412  0.863
Cu  0.863  0.863  0.412
Cu  0.863  0.863  0.863
Cu  0.893  0.369  0.369
Pt  0.246  0.246  0.754
Pt  0.246  0.754  0.246
Pt  0.246  0.754  0.754
Pt  0.754  0.246  0.246
Pt  0.754  0.246  0.754
Pt  0.754  0.754  0.246

As for the space-group type: Fm-3m. The density of states at the Fermi level comes out at 15.3 states/eV/f.u. As for the volume: 13.22 Å³/atom.

[2]
Material: ZnCu2Pt
Method: DFT, PBE-GGA
State: optimized geometry

a b c (Å): 2.748 3.675 5.342
angles (deg): 90.00 90.00 90.00
Fractional positions:
Zn  0.000  0.000  0.000
Cu  0.500  0.500  0.244
Cu  0.500  0.500  0.756
Pt  0.000  0.000  0.500

As for the space-group type: Pmmm. The density of states at the Fermi level comes out at 1.1 states/eV/f.u. As for the volume: 13.48 Å³/atom.

[3]
Material: ZnCu2Pt9
Method: DFT, PBE-GGA
State: optimized geometry

a b c (Å): 3.912 3.912 11.751
angles (deg): 90.00 90.00 90.00
Fractional positions:
Zn  0.000  0.000  0.000
Cu  0.000  0.000  0.335
Cu  0.000  0.000  0.665
Pt  0.000  0.500  0.168
Pt  0.000  0.500  0.500
Pt  0.000  0.500  0.832
Pt  0.500  0.000  0.168
Pt  0.500  0.000  0.500
Pt  0.500  0.000  0.832
Pt  0.500  0.500  0.000
Pt  0.500  0.500  0.334
Pt  0.500  0.500  0.666

As for the space-group type: P4/mmm. The density of states at the Fermi level comes out at 13.7 states/eV/f.u. As for the volume: 14.99 Å³/atom.

[4]
Material: Zn4Cu5Pt2
Method: DFT, PBE-GGA
State: optimized geometry

a b c (Å): 5.228 5.228 6.919
angles (deg): 92.99 92.99 55.44
Fractional positions:
Zn  0.141  0.141  0.454
Zn  0.196  0.196  0.095
Zn  0.804  0.804  0.905
Zn  0.859  0.859  0.546
Cu  0.194  0.699  0.187
Cu  0.301  0.806  0.813
Cu  0.500  0.500  0.500
Cu  0.699  0.194  0.187
Cu  0.806  0.301  0.813
Pt  0.307  0.307  0.760
Pt  0.693  0.693  0.240

As for the space-group type: C2/m. The density of states at the Fermi level comes out at 3.6 states/eV/f.u. As for the volume: 14.14 Å³/atom.

[5]
Material: Zn6CuPt3
Method: DFT, PBE-GGA
State: optimized geometry

a b c (Å): 7.276 4.447 9.450
angles (deg): 90.00 109.51 90.00
Fractional positions:
Zn  0.003  0.250  0.334
Zn  0.010  0.750  0.172
Zn  0.201  0.250  0.638
Zn  0.221  0.750  0.975
Zn  0.400  0.250  0.427
Zn  0.417  0.750  0.781
Zn  0.583  0.250  0.219
Zn  0.600  0.750  0.573
Zn  0.779  0.250  0.025
Zn  0.799  0.750  0.362
Zn  0.990  0.250  0.828
Zn  0.997  0.750  0.666
Cu  0.397  0.250  0.933
Cu  0.603  0.750  0.067
Pt  0.177  0.250  0.122
Pt  0.197  0.750  0.475
Pt  0.418  0.750  0.273
Pt  0.582  0.250  0.727
Pt  0.803  0.250  0.525
Pt  0.823  0.750  0.878

As for the space-group type: P2_1/m. The density of states at the Fermi level comes out at 2.6 states/eV/f.u. As for the volume: 14.41 Å³/atom.

[6]
Material: ZnCu8Pt3
Method: DFT, PBE-GGA
State: optimized geometry

a b c (Å): 6.338 6.338 6.338
angles (deg): 117.11 117.11 95.08
Fractional positions:
Zn  0.000  0.000  0.000
Cu  0.100  0.100  0.733
Cu  0.211  0.211  0.481
Cu  0.271  0.789  0.000
Cu  0.367  0.367  0.267
Cu  0.633  0.900  0.000
Cu  0.729  0.729  0.519
Cu  0.789  0.271  0.000
Cu  0.900  0.633  0.000
Pt  0.250  0.750  0.500
Pt  0.500  0.500  0.000
Pt  0.750  0.250  0.500

As for the space-group type: I-42m. The density of states at the Fermi level comes out at 5.3 states/eV/f.u. As for the volume: 15.59 Å³/atom.

[7]
Material: Zn3CuPt
Method: DFT, PBE-GGA
State: optimized geometry

a b c (Å): 4.637 4.672 7.226
angles (deg): 71.16 84.18 71.82
Fractional positions:
Zn  0.249  0.250  0.000
Zn  0.250  0.051  0.397
Zn  0.250  0.449  0.601
Zn  0.750  0.551  0.399
Zn  0.750  0.949  0.603
Zn  0.751  0.750  0.000
Cu  0.250  0.850  0.799
Cu  0.750  0.150  0.201
Pt  0.251  0.649  0.201
Pt  0.749  0.351  0.799

As for the energy relative to the lowest polymorph listed for this composition: 0 meV/atom. As for the space-group type: P-1. The density of states at the Fermi level comes out at 1.3 states/eV/f.u. As for the volume: 14.08 Å³/atom.

[8]
Material: ZnCu2Pt
Method: DFT, PBE-GGA
State: optimized geometry

a b c (Å): 4.985 4.985 4.985
angles (deg): 145.74 128.91 62.96
Fractional positions:
Zn  0.000  0.000  0.000
Cu  0.242  0.742  0.500
Cu  0.481  0.481  0.000
Pt  0.743  0.243  0.500

As for the space-group type: Imm2. The density of states at the Fermi level comes out at 1.3 states/eV/f.u. As for the volume: 13.42 Å³/atom.

[9]
Material: Zn6CuPt12
Method: DFT, PBE-GGA
State: optimized geometry

a b c (Å): 7.161 7.161 7.161
angles (deg): 106.90 106.90 106.90
Fractional positions:
Zn  0.036  0.301  0.415
Zn  0.301  0.415  0.036
Zn  0.415  0.036  0.301
Zn  0.585  0.964  0.699
Zn  0.699  0.585  0.964
Zn  0.964  0.699  0.585
Cu  0.500  0.500  0.500
Pt  0.013  0.901  0.312
Pt  0.099  0.688  0.987
Pt  0.235  0.658  0.371
Pt  0.312  0.013  0.901
Pt  0.342  0.629  0.765
Pt  0.371  0.235  0.658
Pt  0.629  0.765  0.342
Pt  0.658  0.371  0.235
Pt  0.688  0.987  0.099
Pt  0.765  0.342  0.629
Pt  0.901  0.312  0.013
Pt  0.987  0.099  0.688

As for the space-group type: R-3. The density of states at the Fermi level comes out at 10.0 states/eV/f.u. As for the volume: 16.14 Å³/atom.

[10]
Material: ZnCu2Pt
Method: DFT, PBE-GGA
State: optimized geometry

a b c (Å): 4.577 4.577 4.527
angles (deg): 102.44 102.44 35.84
Fractional positions:
Zn  0.000  0.000  0.000
Cu  0.496  0.496  0.486
Cu  0.749  0.749  0.260
Pt  0.248  0.248  0.757

As for the space-group type: Cm. The density of states at the Fermi level comes out at 1.3 states/eV/f.u. As for the volume: 13.52 Å³/atom.

[11]
Material: ZnCu4Pt6
Method: DFT, PBE-GGA
State: optimized geometry

a b c (Å): 7.442 7.442 7.442
angles (deg): 140.44 140.44 57.19
Fractional positions:
Zn  0.000  0.000  0.000
Cu  0.185  0.185  0.634
Cu  0.449  0.815  0.000
Cu  0.551  0.551  0.366
Cu  0.815  0.449  0.000
Pt  0.000  0.500  0.500
Pt  0.022  0.627  0.000
Pt  0.373  0.373  0.395
Pt  0.500  0.000  0.500
Pt  0.627  0.022  0.000
Pt  0.978  0.978  0.605

As for the space-group type: I-42m. The density of states at the Fermi level comes out at 10.1 states/eV/f.u. As for the volume: 15.07 Å³/atom.

[12]
Material: Zn6Cu2Pt
Method: DFT, PBE-GGA
State: optimized geometry

a b c (Å): 5.965 5.965 5.965
angles (deg): 136.53 106.34 89.59
Fractional positions:
Zn  0.015  0.831  0.184
Zn  0.301  0.500  0.801
Zn  0.353  0.169  0.184
Zn  0.647  0.831  0.816
Zn  0.699  0.500  0.199
Zn  0.985  0.169  0.816
Cu  0.172  0.672  0.500
Cu  0.828  0.328  0.500
Pt  0.500  0.000  0.500

As for the energy relative to the lowest polymorph listed for this composition: 52 meV/atom. As for the space-group type: Immm. The density of states at the Fermi level comes out at 2.9 states/eV/f.u. As for the volume: 14.86 Å³/atom.

Energy list, top to bottom, in eV per atom: -4.43; -4.07; -5.50; -3.59; -3.36; -3.93; -3.09; -4.09; -4.69; -4.10; -4.86; -2.54